[1]
Material: Cs2K5CdHg2
Method: DFT, GGA-PBE
State: optimized geometry

abc: 14.612 14.612 5.137
angles: 90.00 90.00 90.00
Space group P4/mbm (No. 127)
Symmetry-distinct sites (fractional):
Cs  0.175  0.325  0.000 [4 per cell]
K  0.000  0.500  0.500 [2 per cell]
K  0.064  0.803  0.500 [8 per cell]
Cd  0.000  0.000  0.000 [2 per cell]
Hg  0.127  0.627  0.000 [4 per cell]

Calculated values
ρ   2.95 g/cm³
Fermi-level density of states   0.98 states/eV/atom
Formation enthalpy at 0 K   -0.085 eV/atom
Electronic total energy   -19.1 eV per cell



[2]
Material: LaUCl6
Method: DFT, GGA-PBE
State: optimized geometry

abc: 6.9223 6.9223 12.9870
angles: 90.00 90.00 120.00
Space group P-31c (No. 163)
Symmetry-distinct sites (fractional):
La  0.0000  0.0000  0.0000 [2 per cell]
U  0.3333  0.6667  0.2500 [2 per cell]
Cl  0.0155  0.3373  0.1257 [12 per cell]

Calculated values
ρ   3.63 g/cm³
Fermi-level density of states   0.69 states/eV/atom
Uncorrected formation energy   -1539 kJ/mol of formula units
Electronic total energy   -86.5 eV per cell



[3]
Material: Pr5Th
Method: DFT, GGA-PBE
State: optimized geometry

abc: 3.6802 3.6802 18.1849
angles: 90.00 90.00 120.00
Space group P-3m1 (No. 164)
Symmetry-distinct sites (fractional):
Pr  0.0000  0.0000  0.0000 [1 per cell]
Pr  0.3333  0.6667  0.1667 [2 per cell]
Pr  0.3333  0.6667  0.6595 [2 per cell]
Th  0.0000  0.0000  0.5000 [1 per cell]

Calculated values
ρ   7.29 g/cm³
Fermi-level density of states   1.69 states/eV/atom
Formation enthalpy at 0 K   0.026 eV/atom
Electronic total energy   -31.2 eV per cell



[4]
Material: LaHo2Zn2Sn2
Method: DFT, GGA-PBE
State: optimized geometry

abc: 4.7182 4.7182 28.0202
angles: 90.00 90.00 120.00
Space group R-3m (No. 166, hexagonal axes)
Symmetry-distinct sites (fractional):
La  0.0000  0.0000  0.0000 [3 per cell]
Ho  0.0000  0.0000  0.1329 [6 per cell]
Zn  0.0000  0.0000  0.4254 [6 per cell]
Sn  0.0000  0.0000  0.2625 [6 per cell]

Calculated values
ρ   7.72 g/cm³
Fermi-level density of states   1.03 states/eV/atom
Formation enthalpy at 0 K   -0.367 eV/atom
Electronic total energy   -81.6 eV per cell



[5]
Material: HfMnInAg2
Method: DFT, GGA-PBE
State: optimized geometry

abc: 5.040 5.040 5.422
angles: 90.00 90.00 90.00
Space group P4/mmm (No. 123)
Symmetry-distinct sites (fractional):
Hf  0.000  0.000  0.000 [1 per cell]
Mn  0.500  0.500  0.000 [1 per cell]
In  0.000  0.000  0.500 [1 per cell]
Ag  0.000  0.500  0.500 [2 per cell]

Calculated values
ρ   6.80 g/cm³
Fermi-level density of states   1.23 states/eV/atom
Formation enthalpy at 0 K   1.172 eV/atom
Electronic total energy   -21.7 eV per cell



[6]
Material: K3Cd2Sn9
Method: DFT, GGA-PBE
State: optimized geometry

abc: 4.926 12.359 14.218
angles: 90.00 90.00 90.00
Space group Immm (No. 71)
Symmetry-distinct sites (fractional):
K  0.000  0.000  0.000 [2 per cell]
K  0.000  0.000  0.281 [4 per cell]
Cd  0.000  0.152  0.500 [4 per cell]
Sn  0.000  0.294  0.155 [8 per cell]
Sn  0.000  0.350  0.370 [8 per cell]
Sn  0.000  0.500  0.000 [2 per cell]

Calculated values
ρ   5.41 g/cm³
Fermi-level density of states   0.36 states/eV/atom
Formation enthalpy at 0 K   -0.124 eV/atom
Electronic total energy   -85.8 eV per cell



[7]
Material: YThC
Method: DFT, GGA-PBE
State: optimized geometry

abc: 13.051 3.479 6.933
angles: 90.00 115.51 90.00
Space group C2/m (No. 12)
Symmetry-distinct sites (fractional):
Y  0.000  0.000  0.222 [4 per cell]
Th  0.232  0.500  0.765 [4 per cell]
C  0.129  0.500  0.016 [4 per cell]

Calculated values
ρ   7.78 g/cm³
Fermi-level density of states   0.76 states/eV/atom
Formation enthalpy at 0 K   -0.010 eV/atom
Electronic total energy   -92.5 eV per cell



[8]
Material: PrSeS
Method: DFT, GGA-PBE
State: optimized geometry

abc: 3.904 3.904 9.323
angles: 90.00 90.00 90.00
Space group I4mm (No. 107)
Symmetry-distinct sites (fractional):
Pr  0.000  0.000  0.000 [2 per cell]
Se  0.000  0.000  0.654 [2 per cell]
S  0.000  0.000  0.366 [2 per cell]

Calculated values
ρ   5.89 g/cm³
Fermi-level density of states   0.62 states/eV/atom
Uncorrected formation energy   -394 kJ/mol of formula units
Electronic total energy   -32.9 eV per cell